## PmInSnPb (PBE)

Data for an optimized crystal structure of PmInSnPb.

Geometry as POSCAR:
```
PmInSnPb
1.0
4.7658 0.0000 0.0000
0.0000 4.7940 0.0000
0.0000 0.0000 4.8314
Pm In Sn Pb
1 1 1 1
direct
0.0000 0.0000 0.0000
0.5000 0.5000 0.0000
0.5000 0.0000 0.5000
0.0000 0.5000 0.5000
```

Values from the calculation:
Relative energy among the computed polymorphs in kJ/mol of formula units: 0
Magnetic moment in μB per formula unit: 0.0
VASP energy in eV per formula unit: -16.94
ΔE_f in eV per atom: -0.436
SG: No. 47